[1]
Density functional theory data (PBE-GGA) for a relaxed TaNiGe crystal.

Summary:
- electronic total energy (eV for the cell shown) = -94.19

abc: 6.302 3.785 7.216
angles: 90.00 90.00 90.00
Sites, in units of the cell vectors:
Ta1 0.016 0.250 0.177
Ta2 0.484 0.750 0.677
Ta3 0.516 0.250 0.323
Ta4 0.984 0.750 0.823
Ni1 0.163 0.250 0.573
Ni2 0.337 0.750 0.073
Ni3 0.663 0.250 0.927
Ni4 0.837 0.750 0.427
Ge1 0.216 0.750 0.386
Ge2 0.284 0.250 0.886
Ge3 0.716 0.750 0.114
Ge4 0.784 0.250 0.614

=====

[2]
Density functional theory data (PBE-GGA) for a relaxed TaNi3Ge crystal.

Summary:
- relative energy among the computed polymorphs (eV/atom) = 0.337
- electronic total energy (eV for the cell shown) = -30.64

abc: 4.239 4.239 4.239
angles: 90.00 90.00 90.00
Sites, in units of the cell vectors:
Ta1 0.000 0.000 0.000
Ni1 0.000 0.500 0.500
Ni2 0.500 0.000 0.500
Ni3 0.500 0.500 0.000
Ge1 0.500 0.500 0.500

=====

[3]
Density functional theory data (PBE-GGA) for a relaxed Ta2Ni4Ge crystal.

Summary:
- electronic total energy (eV for the cell shown) = -93.28

abc: 4.118 4.118 13.148
angles: 90.00 90.00 90.00
Sites, in units of the cell vectors:
Ta1 0.000 0.000 0.153
Ta2 0.000 0.000 0.847
Ta3 0.500 0.500 0.347
Ta4 0.500 0.500 0.653
Ni1 0.000 0.000 0.329
Ni2 0.000 0.000 0.671
Ni3 0.000 0.500 0.000
Ni4 0.000 0.500 0.500
Ni5 0.500 0.000 0.000
Ni6 0.500 0.000 0.500
Ni7 0.500 0.500 0.171
Ni8 0.500 0.500 0.829
Ge1 0.000 0.000 0.500
Ge2 0.500 0.500 0.000